# 1
KNbCd after structural relaxation, computed with PBE-GGA.

Unit cell a=5.6306 b=5.6306 c=2.8066 alpha=90.00 beta=90.00 gamma=120.00
Closest atoms and distances in Å follow each position.
Space group P-6m2 (No. 187)
Inequivalent atoms, fractional coordinates:
K  0.0000  0.0000  0.0000 (multiplicity 1)  2 K 2.81
Nb  0.6667  0.3333  0.5000 (multiplicity 1)  2 Nb 2.81
Cd  0.3333  0.6667  0.5000 (multiplicity 1)  2 Cd 2.81

Values from the calculation:
* electronic total energy: -3.02 eV per atom
* polymorph energy (0 for the lowest one): 0.7635 eV/atom
* formation enthalpy at 0 K: 1.004 eV per atom

=====

# 2
CaGe6P8 after structural relaxation, computed with PBE-GGA.

Unit cell a=10.0723 b=10.0723 c=10.5389 alpha=90.00 beta=90.00 gamma=120.00
Closest atoms and distances in Å follow each position.
Space group R-3 (No. 148, hexagonal axes)
Inequivalent atoms, fractional coordinates:
Ca  0.0000  0.0000  0.0000 (multiplicity 3)  8 P 2.96-3.09
Ge  0.0416  0.2491  0.6285 (multiplicity 18)  4 P 2.39-2.47
P  0.0000  0.0000  0.2932 (multiplicity 6)  3 Ge 2.47
P  0.0380  0.2815  0.1232 (multiplicity 18)  3 Ge 2.39-2.42

Values from the calculation:
* electronic total energy: -4.88 eV per atom
* formation enthalpy at 0 K: -0.009 eV per atom

=====

# 3
Rb2PuO4 after structural relaxation, computed with PBE-GGA.

Unit cell a=6.8140 b=6.8140 c=3.7877 alpha=90.00 beta=90.00 gamma=90.00
Closest atoms and distances in Å follow each position.
Space group P4/mmm (No. 123)
Inequivalent atoms, fractional coordinates:
Rb  0.0000  0.5000  0.0000 (multiplicity 2)  8 O 3.11
Pu  0.0000  0.0000  0.5000 (multiplicity 1)  4 O 1.90
O  0.1973  0.1973  0.5000 (multiplicity 4)  1 Pu 1.90

Values from the calculation:
* electronic total energy: -7.19 eV per atom
* E_form (uncorrected): -2.034 eV per atom

=====

# 4
NaCo2Hg2 after structural relaxation, computed with PBE-GGA.

Unit cell a=7.8831 b=7.8831 c=2.8873 alpha=90.00 beta=90.00 gamma=90.00
Closest atoms and distances in Å follow each position.
Space group P4/mbm (No. 127)
Inequivalent atoms, fractional coordinates:
Na  0.0000  0.0000  0.0000 (multiplicity 2)  2 Na 2.89, 8 Hg 3.21
Co  0.1007  0.3993  0.0000 (multiplicity 4)  1 Co 2.25
Hg  0.1902  0.6902  0.5000 (multiplicity 4)  6 Co 2.74-2.80, 2 Hg 2.89

Values from the calculation:
* electronic total energy: -2.93 eV per atom
* polymorph energy (0 for the lowest one): 0.0511 eV/atom
* formation enthalpy at 0 K: 0.300 eV per atom

=====

# 5
K2RbPuI8 after structural relaxation, computed with PBE-GGA.

Unit cell a=6.6918 b=8.3871 c=10.3673 alpha=88.70 beta=71.36 gamma=86.09
Closest atoms and distances in Å follow each position.
Space group P-1 (No. 2)
Inequivalent atoms, fractional coordinates:
K  0.1296  0.4632  0.1839 (multiplicity 2)  8 I 3.51-3.83
Rb  0.5000  0.0000  0.5000 (multiplicity 1)  8 I 3.99-4.39
Pu  0.0000  0.0000  0.0000 (multiplicity 1)  6 I 2.99-3.03
I  0.0992  0.0259  0.2639 (multiplicity 2)  1 Pu 3.03
I  0.2555  0.4987  0.4945 (multiplicity 2)  2 I 3.31-3.38, 2 K 3.51-3.60
I  0.3072  0.2386  0.8544 (multiplicity 2)  1 Pu 2.99
I  0.3193  0.7239  0.8910 (multiplicity 2)  1 Pu 3.02

Values from the calculation:
* electronic total energy: -3.58 eV per atom
* E_form (uncorrected): -1.090 eV per atom

=====

# 6
Nd2HPtO6 after structural relaxation, computed with PBE-GGA.

Unit cell a=9.8818 b=5.1358 c=5.3246 alpha=90.00 beta=119.56 gamma=90.00
Closest atoms and distances in Å follow each position.
Space group C2/m (No. 12)
Inequivalent atoms, fractional coordinates:
Nd  0.2397  0.0000  0.2202 (multiplicity 4)  5 O 2.33-2.45
H  0.0000  0.5000  0.0000 (multiplicity 2)  4 O 1.80
Pt  0.0000  0.0000  0.5000 (multiplicity 2)  6 O 2.01-2.03
O  0.0543  0.2638  0.8146 (multiplicity 8)  1 H 1.80, 1 Pt 2.01
O  0.2330  0.0000  0.6513 (multiplicity 4)  1 Pt 2.03

Values from the calculation:
* electronic total energy: -6.54 eV per atom

=====

# 7
ZnPtCl2 after structural relaxation, computed with PBE-GGA.

Unit cell a=3.2120 b=3.9731 c=5.9130 alpha=90.00 beta=90.00 gamma=90.00
Closest atoms and distances in Å follow each position.
Space group Pmmm (No. 47)
Inequivalent atoms, fractional coordinates:
Zn  0.0000  0.0000  0.0000 (multiplicity 1)  4 Cl 2.55
Pt  0.5000  0.0000  0.5000 (multiplicity 1)  4 Cl 2.55
Cl  0.0000  0.5000  0.5000 (multiplicity 1)  4 Pt 2.55
Cl  0.5000  0.5000  0.0000 (multiplicity 1)  4 Zn 2.55

Values from the calculation:
* electronic total energy: -2.68 eV per atom
* polymorph energy (0 for the lowest one): 0.4789 eV/atom
* E_form (uncorrected): 0.070 eV per atom

=====

# 8
InHgI3 after structural relaxation, computed with PBE-GGA.

Unit cell a=5.9302 b=5.9302 c=5.9302 alpha=90.00 beta=90.00 gamma=90.00
Closest atoms and distances in Å follow each position.
Space group Pm-3m (No. 221)
Inequivalent atoms, fractional coordinates:
In  0.0000  0.0000  0.0000 (multiplicity 1)  6 I 2.97
Hg  0.5000  0.5000  0.5000 (multiplicity 1)  12 I 4.19
I  0.0000  0.0000  0.5000 (multiplicity 3)  2 In 2.97

Values from the calculation:
* electronic total energy: -1.74 eV per atom
* polymorph energy (0 for the lowest one): 0.1441 eV/atom
* E_form (uncorrected): -0.204 eV per atom

=====

# 9
InSb3Te after structural relaxation, computed with PBE-GGA.

Unit cell a=5.7771 b=5.7771 c=5.7771 alpha=90.00 beta=90.00 gamma=90.00
Closest atoms and distances in Å follow each position.
Space group Pm-3m (No. 221)
Inequivalent atoms, fractional coordinates:
In  0.0000  0.0000  0.0000 (multiplicity 1)  12 Sb 4.09
Sb  0.0000  0.5000  0.5000 (multiplicity 3)  2 Te 2.89
Te  0.5000  0.5000  0.5000 (multiplicity 1)  6 Sb 2.89

Values from the calculation:
* electronic total energy: -2.94 eV per atom
* polymorph energy (0 for the lowest one): 0.0000 eV/atom
* E_form (uncorrected): 0.708 eV per atom

=====

# 10
NaZrP2O8 after structural relaxation, computed with PBE-GGA.

Unit cell a=6.8078 b=6.8078 c=5.9034 alpha=90.00 beta=90.00 gamma=90.00
Closest atoms and distances in Å follow each position.
Space group I-4m2 (No. 119)
Inequivalent atoms, fractional coordinates:
Na  0.0000  0.0000  0.0000 (multiplicity 2)  8 O 2.27-2.42
Zr  0.0000  0.5000  0.7500 (multiplicity 2)  8 O 2.21-2.28
P  0.0000  0.0000  0.5000 (multiplicity 2)  4 O 1.55
P  0.0000  0.5000  0.2500 (multiplicity 2)  4 O 1.55
O  0.0000  0.1863  0.6516 (multiplicity 8)  1 P 1.55
O  0.0000  0.3261  0.0809 (multiplicity 8)  1 P 1.55

Values from the calculation:
* electronic total energy: -7.36 eV per atom
* polymorph energy (0 for the lowest one): 0.0410 eV/atom
* E_form (uncorrected): -2.335 eV per atom

=====

# 11
Li2PrIn after structural relaxation, computed with PBE-GGA.

Unit cell a=4.9153 b=4.9153 c=3.9483 alpha=90.00 beta=90.00 gamma=90.00
Closest atoms and distances in Å follow each position.
Space group P4/mmm (No. 123)
Inequivalent atoms, fractional coordinates:
Li  0.0000  0.5000  0.0000 (multiplicity 2)  4 In 3.15, 4 Pr 3.15, 4 Li 3.48
Pr  0.0000  0.0000  0.5000 (multiplicity 1)  8 Li 3.15, 4 In 3.48
In  0.5000  0.5000  0.5000 (multiplicity 1)  8 Li 3.15, 4 Pr 3.48

Values from the calculation:
* electronic total energy: -2.94 eV per atom
* polymorph energy (0 for the lowest one): 0.2123 eV/atom
* formation enthalpy at 0 K: -0.104 eV per atom

=====

# 12
Tb2PrSb3 after structural relaxation, computed with PBE-GGA.

Unit cell a=4.4564 b=6.3041 c=13.3587 alpha=90.00 beta=90.00 gamma=90.00
Closest atoms and distances in Å follow each position.
Space group Immm (No. 71)
Inequivalent atoms, fractional coordinates:
Tb  0.0000  0.0000  0.1652 (multiplicity 4)  6 Sb 3.11-3.15
Pr  0.0000  0.0000  0.5000 (multiplicity 2)  6 Sb 3.15-3.20
Sb  0.0000  0.5000  0.1720 (multiplicity 4)  4 Tb 3.11-3.15, 2 Pr 3.20
Sb  0.0000  0.5000  0.5000 (multiplicity 2)  4 Tb 3.14, 2 Pr 3.15

Values from the calculation:
* electronic total energy: -5.56 eV per atom
* E_form (uncorrected): -1.155 eV per atom

=====

# 13
KSb2TeC after structural relaxation, computed with PBE-GGA.

Unit cell a=4.9612 b=4.9612 c=5.0991 alpha=90.00 beta=90.00 gamma=90.00
Closest atoms and distances in Å follow each position.
Space group P4/mmm (No. 123)
Inequivalent atoms, fractional coordinates:
K  0.0000  0.0000  0.0000 (multiplicity 1)  4 Te 3.51, 8 Sb 3.56
Sb  0.0000  0.5000  0.5000 (multiplicity 2)  2 C 2.48
Te  0.5000  0.5000  0.0000 (multiplicity 1)  2 C 2.55
C  0.5000  0.5000  0.5000 (multiplicity 1)  4 Sb 2.48, 2 Te 2.55

Values from the calculation:
* electronic total energy: -3.62 eV per atom
* polymorph energy (0 for the lowest one): 0.0000 eV/atom
* E_form (uncorrected): 0.719 eV per atom

=====

# 14
Ba2Ag after structural relaxation, computed with PBE-GGA.

Unit cell a=4.1815 b=4.1815 c=15.1255 alpha=90.00 beta=90.00 gamma=90.00
Closest atoms and distances in Å follow each position.
Space group I4/mmm (No. 139)
Inequivalent atoms, fractional coordinates:
Ba  0.0000  0.0000  0.1296 (multiplicity 4)  4 Ag 3.55, 1 Ba 3.92
Ag  0.0000  0.0000  0.5000 (multiplicity 2)  8 Ba 3.55

Values from the calculation:
* electronic total energy: -2.40 eV per atom
* polymorph energy (0 for the lowest one): 0.0085 eV/atom
* formation enthalpy at 0 K: -0.169 eV per atom

=====

# 15
Li12CaMg6 after structural relaxation, computed with PBE-GGA.

Unit cell a=12.1646 b=12.1646 c=10.3313 alpha=90.00 beta=90.00 gamma=120.00
Closest atoms and distances in Å follow each position.
Space group R-3m (No. 166, hexagonal axes)
Inequivalent atoms, fractional coordinates:
Li  0.0000  0.3948  0.0000 (multiplicity 18)  1 Li 2.56, 2 Mg 2.80
Li  0.0914  0.1827  0.7991 (multiplicity 18)  4 Mg 2.91-3.05, 3 Li 2.92-3.25
Ca  0.0000  0.0000  0.5000 (multiplicity 3)  6 Li 3.64
Mg  0.0518  0.5259  0.7431 (multiplicity 18)  8 Li 2.80-3.05

Values from the calculation:
* electronic total energy: -1.72 eV per atom
* formation enthalpy at 0 K: 0.097 eV per atom

=====

# 16
LiTl6In2 after structural relaxation, computed with PBE-GGA.

Unit cell a=3.4328 b=3.4328 c=25.0429 alpha=90.00 beta=90.00 gamma=120.00
Closest atoms and distances in Å follow each position.
Space group P-6m2 (No. 187)
Inequivalent atoms, fractional coordinates:
Li  0.0000  0.0000  0.0000 (multiplicity 1)  6 Tl 3.05
Tl  0.0000  0.0000  0.2080 (multiplicity 2)  9 Tl 3.43-3.50, 3 In 3.48
Tl  0.0000  0.0000  0.4356 (multiplicity 2)  7 Tl 3.23-3.43, 3 In 3.47
Tl  0.3333  0.6667  0.0927 (multiplicity 2)  3 Li 3.05
In  0.3333  0.6667  0.3220 (multiplicity 2)  6 In 3.43, 6 Tl 3.47-3.48

Values from the calculation:
* electronic total energy: -2.41 eV per atom
* polymorph energy (0 for the lowest one): 0.0000 eV/atom
* formation enthalpy at 0 K: -0.010 eV per atom

=====

# 17
Rb2TiAuBr6 after structural relaxation, computed with PBE-GGA.

Unit cell a=8.1110 b=8.1110 c=10.4030 alpha=90.00 beta=90.00 gamma=90.00
Closest atoms and distances in Å follow each position.
Space group I4/mmm (No. 139)
Inequivalent atoms, fractional coordinates:
Rb  0.0000  0.5000  0.2500 (multiplicity 4)  12 Br 3.88-4.06
Ti  0.0000  0.0000  0.0000 (multiplicity 2)  6 Br 2.57-2.69
Au  0.0000  0.0000  0.5000 (multiplicity 2)  2 Br 2.51
Br  0.0000  0.0000  0.2585 (multiplicity 4)  1 Au 2.51, 1 Ti 2.69
Br  0.2239  0.2239  0.0000 (multiplicity 8)  1 Ti 2.57

Values from the calculation:
* electronic total energy: -3.44 eV per atom
* E_form (uncorrected): -1.125 eV per atom

=====

# 18
KSb2Se after structural relaxation, computed with PBE-GGA.

Unit cell a=4.4926 b=4.4926 c=5.6063 alpha=90.00 beta=90.00 gamma=90.00
Closest atoms and distances in Å follow each position.
Space group P4/mmm (No. 123)
Inequivalent atoms, fractional coordinates:
K  0.0000  0.0000  0.0000 (multiplicity 1)  4 Se 3.18
Sb  0.0000  0.5000  0.5000 (multiplicity 2)  4 Sb 3.18
Se  0.5000  0.5000  0.0000 (multiplicity 1)  4 K 3.18

Values from the calculation:
* electronic total energy: -3.32 eV per atom
* polymorph energy (0 for the lowest one): 0.2389 eV/atom
* E_form (uncorrected): -0.118 eV per atom

=====

# 19
Cs3Ge2Cl7 after structural relaxation, computed with PBE-GGA.

Unit cell a=5.3844 b=27.9898 c=5.2969 alpha=90.00 beta=90.00 gamma=90.00
Closest atoms and distances in Å follow each position.
Space group Cmmm (No. 65)
Inequivalent atoms, fractional coordinates:
Cs  0.0000  0.0000  0.0000 (multiplicity 2)  12 Cl 3.78-3.84
Cs  0.0000  0.1817  0.0000 (multiplicity 4)  8 Cl 3.56-3.79
Ge  0.0000  0.4012  0.5000 (multiplicity 4)  6 Cl 2.59-2.77
Cl  0.0000  0.0969  0.5000 (multiplicity 4)  2 Ge 2.69
Cl  0.0000  0.3085  0.5000 (multiplicity 4)  1 Ge 2.59
Cl  0.0000  0.4023  0.0000 (multiplicity 4)  2 Ge 2.65
Cl  0.0000  0.5000  0.5000 (multiplicity 2)  2 Ge 2.77

Values from the calculation:
* electronic total energy: -3.49 eV per atom
* polymorph energy (0 for the lowest one): 0.0176 eV/atom
* E_form (uncorrected): -1.425 eV per atom

=====

# 20
Ho7Te2Au2 after structural relaxation, computed with PBE-GGA.

Unit cell a=18.1998 b=3.9997 c=17.1838 alpha=90.00 beta=104.49 gamma=90.00
Closest atoms and distances in Å follow each position.
Space group C2/m (No. 12)
Inequivalent atoms, fractional coordinates:
Ho  0.0000  0.0000  0.0000 (multiplicity 2)  2 Te 3.10, 2 Au 3.19
Ho  0.0001  0.0000  0.3320 (multiplicity 4)  2 Au 2.94, 3 Te 3.07-3.18
Ho  0.0000  0.5000  0.5000 (multiplicity 2)  2 Au 3.06, 2 Te 3.21
Ho  0.0732  0.5000  0.1722 (multiplicity 4)  2 Au 3.00, 2 Te 3.18
Ho  0.1617  0.5000  0.9822 (multiplicity 4)  2 Au 2.97, 2 Te 3.18
Ho  0.1758  0.0000  0.5322 (multiplicity 4)  2 Au 3.02, 2 Te 3.23
Ho  0.1905  0.0000  0.3205 (multiplicity 4)  2 Au 2.92, 1 Te 3.13
Ho  0.2203  0.0000  0.8053 (multiplicity 4)  2 Au 2.94, 3 Te 3.09-3.25
Te  0.0666  0.0000  0.8510 (multiplicity 4)  7 Ho 3.07-3.18
Te  0.1343  0.5000  0.6621 (multiplicity 4)  8 Ho 3.13-3.25
Au  0.1173  0.5000  0.3994 (multiplicity 4)  7 Ho 2.92-3.06
Au  0.1690  0.0000  0.1120 (multiplicity 4)  7 Ho 2.94-3.19

Values from the calculation:
* electronic total energy: -4.91 eV per atom
* polymorph energy (0 for the lowest one): 0.0000 eV/atom
* E_form (uncorrected): -0.831 eV per atom